Record 1
Ho5B2O6F9 | PBE-GGA | relaxed

a b c (Å): 10.4927 10.4927 8.1770
angles (deg): 99.72 99.72 33.35
Last column: nearest neighbours and their distance in Å.
Atoms (fractional coordinates):
1 Ho 0.2218 0.9981 0.4044  5 F 2.21-2.46, 3 O 2.29-2.38
2 F 0.9883 0.0117 0.2500  3 Ho 2.28-2.46
3 Ho 0.9981 0.2218 0.9044  5 F 2.21-2.46, 3 O 2.29-2.38
4 O 0.5980 0.7213 0.5389  1 B 1.39
5 Ho 0.8154 0.5724 0.3192  5 F 2.20-2.38, 2 O 2.30-2.31
6 F 0.2874 0.6514 0.0150  2 Ho 2.21-2.40, 1 B 2.34
7 Ho 0.1846 0.4276 0.6808  5 F 2.20-2.38, 2 O 2.30-2.31
8 B 0.7064 0.5163 0.5621  3 O 1.37-1.39
9 F 0.7163 0.8609 0.0191  3 Ho 2.26-2.31
10 F 0.7126 0.3486 0.9850  2 Ho 2.21-2.40, 1 B 2.34
11 O 0.6951 0.4898 0.7163  1 B 1.38
12 Ho 0.7782 0.0019 0.5956  5 F 2.21-2.46, 3 O 2.29-2.38
13 F 0.0117 0.9883 0.7500  3 Ho 2.28-2.46
14 F 0.7947 0.9418 0.3166  3 Ho 2.23-2.38
15 Ho 0.4276 0.1846 0.1808  5 F 2.20-2.38, 2 O 2.30-2.31
16 Ho 0.0019 0.7782 0.0956  5 F 2.21-2.46, 3 O 2.29-2.38
17 O 0.3512 0.8315 0.9341  1 B 1.37
18 O 0.8315 0.3512 0.4341  1 B 1.37
19 O 0.7213 0.5980 0.0389  1 B 1.39
20 O 0.2787 0.4020 0.9611  1 B 1.39
21 F 0.9488 0.4983 0.7873  2 Ho 2.20-2.21
22 F 0.5017 0.0512 0.7127  2 Ho 2.20-2.21
23 F 0.2837 0.1391 0.9809  3 Ho 2.26-2.31
24 O 0.1685 0.6488 0.5659  1 B 1.37
25 B 0.4837 0.2936 0.9379  3 O 1.37-1.39
26 O 0.6488 0.1685 0.0659  1 B 1.37
27 F 0.6514 0.2874 0.5150  2 Ho 2.21-2.40, 1 B 2.34
28 F 0.1391 0.2837 0.4809  3 Ho 2.26-2.31
29 F 0.0512 0.5017 0.2127  2 Ho 2.20-2.21
30 F 0.2053 0.0582 0.6834  3 Ho 2.23-2.38
31 O 0.3049 0.5102 0.2837  1 B 1.38
32 O 0.5102 0.3049 0.7837  1 B 1.38
33 B 0.2936 0.4837 0.4379  3 O 1.37-1.39
34 F 0.0582 0.2053 0.1834  3 Ho 2.23-2.38
35 O 0.4898 0.6951 0.2163  1 B 1.38
36 Ho 0.3908 0.6092 0.7500  3 F 2.28-2.40, 4 O 2.30-2.31
37 Ho 0.6092 0.3908 0.2500  3 F 2.28-2.40, 4 O 2.30-2.31
38 O 0.4020 0.2787 0.4611  1 B 1.39
39 B 0.5163 0.7064 0.0621  3 O 1.37-1.39
40 F 0.3486 0.7126 0.4850  2 Ho 2.21-2.40, 1 B 2.34
41 F 0.8609 0.7163 0.5191  3 Ho 2.26-2.31
42 F 0.9418 0.7947 0.8166  3 Ho 2.23-2.38
43 F 0.4983 0.9488 0.2873  2 Ho 2.20-2.21
44 Ho 0.5724 0.8154 0.8192  5 F 2.20-2.38, 2 O 2.30-2.31

## Properties
**Uncorrected energy**: -163.42 eV/f.u.
**Symmetry**: C2/c, No. 15

***

Record 2
Tl2Tc2S7 | PBE-GGA | relaxed

a b c (Å): 7.2100 7.2100 6.7349
angles (deg): 94.17 94.17 116.04
Last column: nearest neighbours and their distance in Å.
Atoms (fractional coordinates):
1 S 0.3888 0.0728 0.2247  1 Tc 2.22
2 S 0.9271 0.6113 0.7752  1 Tc 2.22
3 Tl 0.3126 0.6874 0.0000  4 S 2.74-2.87
4 Tc 0.7402 0.7402 0.6125  4 S 2.22-2.29
5 S 0.6113 0.9271 0.7752  1 Tc 2.22
6 S 0.0728 0.3888 0.2247  1 Tc 2.22
7 S 0.0000 0.0000 0.5000  2 Tc 2.22
8 S 0.5691 0.5691 0.3051  2 Tc 2.29-2.50
9 S 0.4310 0.4310 0.6951  2 Tc 2.29-2.50
10 Tc 0.2597 0.2597 0.3875  4 S 2.22-2.29
11 Tl 0.6874 0.3126 0.0000  4 S 2.74-2.87

## Properties
**Uncorrected energy**: -56.33 eV/f.u.
**Symmetry**: C2/m, No. 12